No. 1
Material: LiV3C
Method: DFT, PBE-GGA
State: relaxed

```
data_LiV3C
_cell_length_a 3.9874
_cell_length_b 3.9874
_cell_length_c 3.9874
_cell_angle_alpha 90.00
_cell_angle_beta 90.00
_cell_angle_gamma 90.00
_space_group_name_H-M_alt 'P 1'
_space_group_IT_number 1
_space_group_name_Hall 'P 1'
loop_
_atom_site_label
_atom_site_type_symbol
_atom_site_fract_x
_atom_site_fract_y
_atom_site_fract_z
Li1 Li 0.0000 0.0000 0.0000
V1 V 0.0000 0.5000 0.5000
V2 V 0.5000 0.0000 0.5000
V3 V 0.5000 0.5000 0.0000
C1 C 0.5000 0.5000 0.5000
```

Output
The magnetic moment is 0.000 μB per atom. The value obtained for the density is 4.50 g cm⁻³. The value obtained for the formation energy is 0.06 eV/atom.

No. 2
Material: LiReSb2
Method: DFT, PBE-GGA
State: relaxed

```
data_LiReSb2
_cell_length_a 3.2615
_cell_length_b 3.2615
_cell_length_c 7.6889
_cell_angle_alpha 90.00
_cell_angle_beta 90.00
_cell_angle_gamma 90.00
_space_group_name_H-M_alt 'P 1'
_space_group_IT_number 1
_space_group_name_Hall 'P 1'
loop_
_atom_site_label
_atom_site_type_symbol
_atom_site_fract_x
_atom_site_fract_y
_atom_site_fract_z
Li1 Li 0.0000 0.0000 0.0000
Re1 Re 0.0000 0.0000 0.5000
Sb1 Sb 0.5000 0.5000 0.2844
Sb2 Sb 0.5000 0.5000 0.7156
```

Output
The magnetic moment is 0.000 μB per atom. The value obtained for the density is 8.87 g cm⁻³. The value obtained for the formation energy (no corrections) is 41 meV/atom.

No. 3
Material: KReSiO6
Method: DFT, PBE-GGA
State: relaxed

```
data_KReSiO6
_cell_length_a 4.9801
_cell_length_b 4.9801
_cell_length_c 6.0457
_cell_angle_alpha 90.00
_cell_angle_beta 90.00
_cell_angle_gamma 120.00
_space_group_name_H-M_alt 'P 1'
_space_group_IT_number 1
_space_group_name_Hall 'P 1'
loop_
_atom_site_label
_atom_site_type_symbol
_atom_site_fract_x
_atom_site_fract_y
_atom_site_fract_z
K1 K 0.0000 0.0000 0.0000
Re1 Re 0.6667 0.3333 0.5000
Si1 Si 0.3333 0.6667 0.5000
O1 O 0.0136 0.3980 0.6718
O2 O 0.0136 0.6156 0.3282
O3 O 0.3844 0.3980 0.3282
O4 O 0.3844 0.9864 0.6718
O5 O 0.6020 0.6156 0.6718
O6 O 0.6020 0.9864 0.3282
```

Output
The magnetic moment is 0.000 μB per atom. The value obtained for the density is 4.47 g cm⁻³. The value obtained for the formation energy (no corrections) is -1936 meV/atom.

No. 4
Material: BaZr2Se
Method: DFT, PBE-GGA
State: relaxed

```
data_BaZr2Se
_cell_length_a 9.6145
_cell_length_b 9.6145
_cell_length_c 9.6145
_cell_angle_alpha 22.74
_cell_angle_beta 22.74
_cell_angle_gamma 22.74
_space_group_name_H-M_alt 'P 1'
_space_group_IT_number 1
_space_group_name_Hall 'P 1'
loop_
_atom_site_label
_atom_site_type_symbol
_atom_site_fract_x
_atom_site_fract_y
_atom_site_fract_z
Ba1 Ba 0.0000 0.0000 0.0000
Zr1 Zr 0.2200 0.2200 0.2200
Zr2 Zr 0.7800 0.7800 0.7800
Se1 Se 0.5000 0.5000 0.5000
```

Output
The magnetic moment is 0.000 μB per atom. The value obtained for the density is 5.68 g cm⁻³. The value obtained for the formation energy (no corrections) is -214 meV/atom.

No. 5
Material: LiI2O6
Method: DFT, PBE-GGA
State: relaxed

```
data_LiI2O6
_cell_length_a 9.2772
_cell_length_b 9.2772
_cell_length_c 5.0053
_cell_angle_alpha 90.00
_cell_angle_beta 90.00
_cell_angle_gamma 120.00
_space_group_name_H-M_alt 'P 1'
_space_group_IT_number 1
_space_group_name_Hall 'P 1'
loop_
_atom_site_label
_atom_site_type_symbol
_atom_site_fract_x
_atom_site_fract_y
_atom_site_fract_z
Li1 Li 0.0000 0.0000 0.0000
Li2 Li 0.3333 0.6667 0.0166
Li3 Li 0.6667 0.3333 0.4970
I1 I 0.0030 0.3203 0.9758
I2 I 0.3173 0.9970 0.9758
I3 I 0.3559 0.3547 0.4720
I4 I 0.6453 0.0012 0.4720
I5 I 0.6797 0.6827 0.9758
I6 I 0.9988 0.6441 0.4720
O1 O 0.0880 0.2257 0.2085
O2 O 0.1081 0.5631 0.2624
O3 O 0.1378 0.9120 0.2085
O4 O 0.1980 0.4512 0.7942
O5 O 0.2284 0.0956 0.7612
O6 O 0.2531 0.8020 0.7942
O7 O 0.4369 0.5450 0.2624
O8 O 0.4417 0.2473 0.2692
O9 O 0.4550 0.8919 0.2624
O10 O 0.5378 0.4320 0.7047
O11 O 0.5488 0.7469 0.7942
O12 O 0.5680 0.1057 0.7047
O13 O 0.7527 0.1944 0.2692
O14 O 0.7743 0.8622 0.2085
O15 O 0.8056 0.5583 0.2692
O16 O 0.8671 0.7716 0.7612
O17 O 0.8943 0.4622 0.7047
O18 O 0.9044 0.1329 0.7612
```

Output
The magnetic moment is 0.000 μB per atom. The value obtained for the density is 4.76 g cm⁻³. The value obtained for the formation energy (no corrections) is -518 meV/atom.

No. 6
Material: CsBi2BC
Method: DFT, PBE-GGA
State: relaxed

```
data_CsBi2BC
_cell_length_a 5.0705
_cell_length_b 5.0705
_cell_length_c 5.2490
_cell_angle_alpha 90.00
_cell_angle_beta 90.00
_cell_angle_gamma 90.00
_space_group_name_H-M_alt 'P 1'
_space_group_IT_number 1
_space_group_name_Hall 'P 1'
loop_
_atom_site_label
_atom_site_type_symbol
_atom_site_fract_x
_atom_site_fract_y
_atom_site_fract_z
Cs1 Cs 0.0000 0.0000 0.0000
Bi1 Bi 0.0000 0.5000 0.5000
Bi2 Bi 0.5000 0.0000 0.5000
B1 B 0.5000 0.5000 0.0000
C1 C 0.5000 0.5000 0.5000
```

Output
The magnetic moment is 0.000 μB per atom. The value obtained for the density is 7.06 g cm⁻³. The value obtained for the formation energy is 1.68 eV/atom.

No. 7
Material: HoCd11Rh
Method: DFT, PBE-GGA
State: relaxed

```
data_HoCd11Rh
_cell_length_a 7.6887
_cell_length_b 7.6887
_cell_length_c 7.5022
_cell_angle_alpha 97.83
_cell_angle_beta 97.83
_cell_angle_gamma 136.56
_space_group_name_H-M_alt 'P 1'
_space_group_IT_number 1
_space_group_name_Hall 'P 1'
loop_
_atom_site_label
_atom_site_type_symbol
_atom_site_fract_x
_atom_site_fract_y
_atom_site_fract_z
Ho1 Ho 0.0000 0.0000 0.0000
Cd1 Cd 0.0000 0.5000 0.0000
Cd2 Cd 0.0053 0.6700 0.6437
Cd3 Cd 0.2805 0.4855 0.7875
Cd4 Cd 0.3300 0.9947 0.3563
Cd5 Cd 0.4855 0.2805 0.7875
Cd6 Cd 0.5000 0.0000 0.0000
Cd7 Cd 0.5000 0.5000 0.5000
Cd8 Cd 0.5145 0.7195 0.2125
Cd9 Cd 0.6700 0.0053 0.6437
Cd10 Cd 0.7195 0.5145 0.2125
Cd11 Cd 0.9947 0.3300 0.3563
Rh1 Rh 0.0000 0.0000 0.5000
```

Output
The magnetic moment is 0.000 μB per atom. The value obtained for the density is 8.81 g cm⁻³. The value obtained for the formation energy is -0.10 eV/atom.

No. 8
Material: TbPm7Sm2
Method: DFT, PBE-GGA
State: relaxed

```
data_TbPm7Sm2
_cell_length_a 9.5929
_cell_length_b 9.5929
_cell_length_c 5.4667
_cell_angle_alpha 90.00
_cell_angle_beta 90.00
_cell_angle_gamma 125.76
_space_group_name_H-M_alt 'P 1'
_space_group_IT_number 1
_space_group_name_Hall 'P 1'
loop_
_atom_site_label
_atom_site_type_symbol
_atom_site_fract_x
_atom_site_fract_y
_atom_site_fract_z
Tb1 Tb 0.0000 0.0000 0.0000
Pm1 Pm 0.0700 0.2898 0.5000
Pm2 Pm 0.2081 0.7919 0.0000
Pm3 Pm 0.2898 0.0700 0.5000
Pm4 Pm 0.5000 0.5000 0.5000
Pm5 Pm 0.7102 0.9300 0.5000
Pm6 Pm 0.7919 0.2081 0.0000
Pm7 Pm 0.9300 0.7102 0.5000
Sm1 Sm 0.2951 0.7049 0.5000
Sm2 Sm 0.7049 0.2951 0.5000
```

Output
The magnetic moment is 0.000 μB per atom. The value obtained for the density is 6.00 g cm⁻³. The value obtained for the formation energy is 0.64 eV/atom.

No. 9
Material: Mg3Hg4
Method: DFT, PBE-GGA
State: relaxed

```
data_Mg3Hg4
_cell_length_a 8.4152
_cell_length_b 8.4152
_cell_length_c 8.4152
_cell_angle_alpha 33.59
_cell_angle_beta 33.59
_cell_angle_gamma 33.59
_space_group_name_H-M_alt 'P 1'
_space_group_IT_number 1
_space_group_name_Hall 'P 1'
loop_
_atom_site_label
_atom_site_type_symbol
_atom_site_fract_x
_atom_site_fract_y
_atom_site_fract_z
Mg1 Mg 0.0000 0.0000 0.0000
Mg2 Mg 0.2512 0.2512 0.2512
Mg3 Mg 0.7488 0.7488 0.7488
Hg1 Hg 0.1297 0.1297 0.1297
Hg2 Hg 0.3817 0.3817 0.3817
Hg3 Hg 0.6183 0.6183 0.6183
Hg4 Hg 0.8703 0.8703 0.8703
```

Output
The magnetic moment is 0.000 μB per atom. The value obtained for the density is 8.95 g cm⁻³. The value obtained for the formation energy is -0.16 eV/atom.

No. 10
Material: Ac4PmTh3As8
Method: DFT, PBE-GGA
State: relaxed

```
data_Ac4PmTh3As8
_cell_length_a 8.8104
_cell_length_b 8.8104
_cell_length_c 8.8104
_cell_angle_alpha 59.58
_cell_angle_beta 59.58
_cell_angle_gamma 59.58
_space_group_name_H-M_alt 'P 1'
_space_group_IT_number 1
_space_group_name_Hall 'P 1'
loop_
_atom_site_label
_atom_site_type_symbol
_atom_site_fract_x
_atom_site_fract_y
_atom_site_fract_z
Ac1 Ac 0.0000 0.0000 0.0000
Ac2 Ac 0.0000 0.5000 0.5000
Ac3 Ac 0.5000 0.0000 0.5000
Ac4 Ac 0.5000 0.5000 0.0000
Pm1 Pm 0.5000 0.5000 0.5000
Th1 Th 0.0000 0.0000 0.5000
Th2 Th 0.0000 0.5000 0.0000
Th3 Th 0.5000 0.0000 0.0000
As1 As 0.2421 0.7445 0.7445
As2 As 0.2435 0.2435 0.2435
As3 As 0.2555 0.2555 0.7579
As4 As 0.2555 0.7579 0.2555
As5 As 0.7445 0.2421 0.7445
As6 As 0.7445 0.7445 0.2421
As7 As 0.7565 0.7565 0.7565
As8 As 0.7579 0.2555 0.2555
```

Output
The magnetic moment is 0.000 μB per atom. The value obtained for the density is 8.14 g cm⁻³. The value obtained for the formation energy is -1.46 eV/atom.